The following is a PBEsol calculation of a relaxed BeCuCl4 crystal, from the Alexandria database.

Unit cell a=5.626 b=5.626 c=5.626 alpha=60.00 beta=60.00 gamma=60.00
Each line ends with the local moment (μB).
Fractional positions:
1 Be 0.000 0.000 0.000  0.10
2 Cl 0.375 0.375 0.375  0.23
3 Cl 0.375 0.375 0.876  0.23
4 Cl 0.876 0.375 0.375  0.23
5 Cl 0.375 0.876 0.375  0.23
6 Cu 0.750 0.750 0.750  0.01

Results
Electronic total energy: -1.626 eV per atom
Total magnetization: 1.330 μB per cell
Formation energy (no corrections): 1.102 eV/atom